1.
CeTl2Br5: optimized geometry, PBE-GGA.

```
CeTl2Br5
1.0
13.677 0.000 0.000
0.000 9.289 0.000
0.000 0.000 8.669
Ce Tl Br
4 8 20
direct
0.005 0.250 0.075
0.495 0.750 0.575
0.505 0.250 0.425
0.995 0.750 0.925
0.173 0.003 0.553
0.173 0.497 0.553
0.327 0.503 0.053
0.327 0.997 0.053
0.673 0.003 0.947
0.673 0.497 0.947
0.827 0.503 0.447
0.827 0.997 0.447
0.007 0.250 0.423
0.076 0.545 0.166
0.076 0.955 0.166
0.182 0.250 0.880
0.205 0.750 0.839
0.295 0.250 0.339
0.318 0.750 0.380
0.424 0.045 0.666
0.424 0.455 0.666
0.493 0.750 0.923
0.507 0.250 0.077
0.576 0.545 0.334
0.576 0.955 0.334
0.682 0.250 0.620
0.705 0.750 0.661
0.795 0.250 0.161
0.818 0.750 0.120
0.924 0.045 0.834
0.924 0.455 0.834
0.993 0.750 0.577
```

Properties
Total energy ... -3.744 eV/atom
Crystal system ... orthorhombic
M_tot ... 1.00 μB per formula unit

=====

2.
Ce2TlBr: optimized geometry, PBE-GGA.

```
Ce2TlBr
1.0
2.271 1.311 6.704
-2.271 1.311 6.704
0.000 -2.623 6.704
Ce Tl Br
2 1 1
direct
0.244 0.244 0.244
0.756 0.756 0.756
0.000 0.000 0.000
0.500 0.500 0.500
```

Properties
Total energy ... -4.569 eV/atom
Crystal system ... trigonal
M_tot ... 2.22 μB per formula unit
Distance to the lowest polymorph of the same formula ... 0.003 eV/atom

=====

3.
Ce7TlBr12: optimized geometry, PBE-GGA.

```
Ce7TlBr12
1.0
7.945 4.587 3.229
-7.945 4.587 3.229
0.000 -9.174 3.229
Ce Tl Br
7 1 12
direct
0.000 0.000 0.000
0.134 0.435 0.356
0.356 0.134 0.435
0.435 0.356 0.134
0.565 0.644 0.866
0.644 0.866 0.565
0.866 0.565 0.644
0.500 0.500 0.500
0.012 0.098 0.338
0.098 0.338 0.012
0.200 0.570 0.717
0.283 0.800 0.430
0.338 0.012 0.098
0.430 0.283 0.800
0.570 0.717 0.200
0.662 0.988 0.902
0.717 0.200 0.570
0.800 0.430 0.283
0.902 0.662 0.988
0.988 0.902 0.662
```

Properties
Total energy ... -4.655 eV/atom
Crystal system ... trigonal
M_tot ... 10.16 μB per formula unit

=====

4.
CeTl5Br8: optimized geometry, PBE-GGA.

```
CeTl5Br8
1.0
8.243 0.000 0.000
-2.603 7.953 0.000
-2.655 -3.792 7.733
Ce Tl Br
1 5 8
direct
0.000 0.000 0.000
0.159 0.914 0.528
0.325 0.561 0.875
0.507 0.618 0.439
0.671 0.164 0.355
0.773 0.397 0.928
0.030 0.345 0.250
0.237 0.831 0.170
0.395 0.255 0.075
0.426 0.312 0.582
0.583 0.913 0.820
0.792 0.816 0.180
0.928 0.664 0.704
0.954 0.143 0.721
```

Properties
Total energy ... -3.354 eV/atom
Crystal system ... triclinic
M_tot ... 1.00 μB per formula unit

=====

5.
CeTl2Br6: optimized geometry, PBE-GGA.

```
CeTl2Br6
1.0
7.733 0.000 0.000
0.000 8.327 0.000
-6.852 0.000 10.951
Ce Tl Br
2 4 12
direct
0.000 0.000 0.000
0.000 0.500 0.500
0.303 0.090 0.767
0.303 0.410 0.267
0.697 0.590 0.733
0.697 0.910 0.233
0.119 0.036 0.244
0.119 0.464 0.744
0.232 0.719 0.060
0.232 0.781 0.560
0.342 0.180 0.046
0.342 0.320 0.546
0.658 0.680 0.454
0.658 0.820 0.954
0.768 0.219 0.440
0.768 0.281 0.940
0.881 0.536 0.256
0.881 0.964 0.756
```

Properties
Total energy ... -3.597 eV/atom
Crystal system ... monoclinic
M_tot ... 0.00 μB per formula unit

=====

6.
CeTlBr2: optimized geometry, PBE-GGA.

```
CeTlBr2
1.0
2.065 1.192 10.331
-2.065 1.192 10.331
0.000 -2.385 10.331
Ce Tl Br
1 1 2
direct
0.000 0.000 0.000
0.500 0.500 0.500
0.093 0.093 0.093
0.907 0.907 0.907
```

Properties
Total energy ... -3.635 eV/atom
Crystal system ... trigonal
M_tot ... 1.44 μB per formula unit

=====

Number 1: raw formation energy -1.366 eV/atom. Number 2: raw formation energy -0.592 eV/atom. Number 3: raw formation energy -1.456 eV/atom. Number 4: raw formation energy -1.129 eV/atom. Number 5: raw formation energy -1.296 eV/atom. Number 6: raw formation energy -0.724 eV/atom.